[1]
Below is Cs6AsAu3 after structural relaxation, with properties calculated at the PBE level.

abc: 13.8013 5.7653 14.2942
angles: 90.00 117.13 90.00
Last column: nearest neighbours and their distance in Å.
Sites, in units of the cell vectors:
Cs  0.0340  0.2500  0.3792  4 Au 3.52-3.82
Cs  0.1568  0.7500  0.1629  4 Au 3.49-3.69, 1 As 3.63
Cs  0.2178  0.2500  0.9655  3 Au 3.75-3.93, 2 As 3.90
Cs  0.3628  0.2500  0.6196  1 As 3.50, 3 Au 3.53-3.62
Cs  0.3984  0.2500  0.3104  3 Au 3.83-3.96, 2 As 3.84, 4 Cs 4.14-4.18
Cs  0.4128  0.7500  0.8765  3 As 3.75-3.88
Cs  0.5872  0.2500  0.1235  3 As 3.75-3.88
Cs  0.6016  0.7500  0.6896  3 Au 3.83-3.96, 2 As 3.84, 4 Cs 4.14-4.18
Cs  0.6372  0.7500  0.3804  1 As 3.50, 3 Au 3.53-3.62
Cs  0.7822  0.7500  0.0345  3 Au 3.75-3.93, 2 As 3.90
Cs  0.8432  0.2500  0.8371  4 Au 3.49-3.69, 1 As 3.63
Cs  0.9660  0.7500  0.6208  4 Au 3.52-3.82
As  0.4055  0.7500  0.1358  9 Cs 3.50-3.90
As  0.5945  0.2500  0.8642  9 Cs 3.50-3.90
Au  0.0008  0.7500  0.8806  4 Cs 3.49-3.61
Au  0.1397  0.2500  0.6773  5 Cs 3.53-3.82
Au  0.3184  0.7500  0.4520  6 Cs 3.62-3.96
Au  0.6816  0.2500  0.5480  6 Cs 3.62-3.96
Au  0.8603  0.7500  0.3227  5 Cs 3.53-3.82
Au  0.9992  0.2500  0.1194  4 Cs 3.49-3.61

## Properties
- space group = No. 11
- energy of formation (meV per atom) = -291.1
- DOS at the Fermi energy (states/eV per atom) = 0.3497

[2]
Below is K2CaNpO6 after structural relaxation, with properties calculated at the PBE level.

abc: 6.1370 6.1370 6.1370
angles: 60.00 60.00 60.00
Last column: nearest neighbours and their distance in Å.
Sites, in units of the cell vectors:
K  0.2500  0.2500  0.2500  12 O 3.07
K  0.7500  0.7500  0.7500  12 O 3.07
Ca  0.0000  0.0000  0.0000  6 O 2.33
Np  0.5000  0.5000  0.5000  6 O 2.01
O  0.2688  0.2688  0.7312  1 Np 2.01
O  0.2688  0.7312  0.2688  1 Np 2.01
O  0.2688  0.7312  0.7312  1 Np 2.01
O  0.7312  0.2688  0.2688  1 Np 2.01
O  0.7312  0.2688  0.7312  1 Np 2.01
O  0.7312  0.7312  0.2688  1 Np 2.01

## Properties
- E_form (uncorrected) (meV per atom) = -2334
- space group = No. 225
- DOS at the Fermi energy (states/eV per atom) = 1.0113

[3]
Below is MoIr2Rh after structural relaxation, with properties calculated at the PBE level.

abc: 3.8934 3.8934 3.8619
angles: 90.00 90.00 90.00
Last column: nearest neighbours and their distance in Å.
Sites, in units of the cell vectors:
Mo  0.0000  0.0000  0.0000  8 Ir 2.74, 4 Rh 2.75
Ir  0.0000  0.5000  0.5000  4 Mo 2.74, 4 Rh 2.74, 4 Ir 2.75
Ir  0.5000  0.0000  0.5000  4 Mo 2.74, 4 Rh 2.74, 4 Ir 2.75
Rh  0.5000  0.5000  0.0000  8 Ir 2.74, 4 Mo 2.75

## Properties
- energy above the lowest structure with this stoichiometry (kJ per mole of atoms) = 0.0
- space group = No. 123
- energy of formation (meV per atom) = -245.0
- DOS at the Fermi energy (states/eV per atom) = 0.6551

[4]
Below is PrSmCl3 after structural relaxation, with properties calculated at the PBE level.

abc: 8.1732 8.1732 10.7128
angles: 117.50 117.50 28.48
Last column: nearest neighbours and their distance in Å.
Sites, in units of the cell vectors:
Pr  0.1409  0.1409  0.2931  5 Cl 2.82-2.96
Pr  0.8591  0.8591  0.7069  5 Cl 2.82-2.96
Sm  0.4103  0.4103  0.0501  4 Cl 2.81-2.87
Sm  0.5897  0.5897  0.9499  4 Cl 2.81-2.87
Cl  0.0485  0.0485  0.7460  2 Sm 2.81, 1 Pr 2.82
Cl  0.2270  0.2270  0.1146  1 Pr 2.83, 2 Sm 2.87
Cl  0.3436  0.3436  0.4937  3 Pr 2.89-2.96
Cl  0.6564  0.6564  0.5063  3 Pr 2.89-2.96
Cl  0.7730  0.7730  0.8854  1 Pr 2.83, 2 Sm 2.87
Cl  0.9515  0.9515  0.2540  2 Sm 2.81, 1 Pr 2.82

## Properties
- E_form (uncorrected) (meV per atom) = -1844
- space group = No. 12

Electronic total energy (eV per atom)
-2.251; -7.023; -9.221; -4.852
Magnetization (μB/f.u.)
0.00; 1.11; 0.00; 0.00